# PBE-GGA Ta2NiAg, optimized geometry
data_Ta2NiAg
_chemical_formula_sum 'Ta2 Ni1 Ag1'
_space_group_name_H-M_alt 'P 4/m m m'
_space_group_IT_number 123
_space_group_name_Hall '-P 4 2'
_cell_length_a 2.784
_cell_length_b 2.784
_cell_length_c 8.297
_cell_angle_alpha 90.00
_cell_angle_beta 90.00
_cell_angle_gamma 90.00
loop_
_atom_site_label
_atom_site_type_symbol
_atom_site_fract_x
_atom_site_fract_y
_atom_site_fract_z
Ta1 Ta 0.000 0.000 0.222
Ni1 Ni 0.500 0.500 0.000
Ag1 Ag 0.500 0.500 0.500
# total energy: -7.996 eV/atom
# total magnetic moment: 0.0000 μB per atom
# energy relative to the lowest polymorph listed for this composition: 0.11 eV/f.u.
# calculated formation energy: 89 meV/atom